No. 1
# Ni2TeAs, relaxed, DFT GGA-PBE
# Calculated volume: 15.916 A^3/atom
# Calculated total energy: -0.173 hartree per atom
# Raw formation energy: 0.6 eV/f.u.
# ρ: 8.3 Mg/m³
# Magnetic moment: 0.000 μB per formula unit
data_Ni2TeAs
_chemical_formula_sum 'Ni8 Te4 As4'
_symmetry_space_group_name_H-M 'F m -3 m'
_symmetry_Int_Tables_number 225
_symmetry_space_group_name_Hall '-F 4 2 3'
_cell_length_a 6.338
_cell_length_b 6.338
_cell_length_c 6.338
_cell_angle_alpha 90.00
_cell_angle_beta 90.00
_cell_angle_gamma 90.00
loop_
_atom_site_label
_atom_site_type_symbol
_atom_site_fract_x
_atom_site_fract_y
_atom_site_fract_z
Ni1 Ni 0.250 0.250 0.250
Te1 Te 0.000 0.000 0.000
As1 As 0.000 0.000 0.500



No. 2
# TaB3Pd, relaxed, DFT GGA-PBE
# Calculated volume: 12.705 A^3/atom
# Calculated total energy: -0.219 hartree per atom
# ρ: 8.4 Mg/m³
# Energy relative to the lowest polymorph listed for this composition: 0.00 eV/f.u.
# Magnetic moment: 0.000 μB per formula unit
data_TaB3Pd
_chemical_formula_sum 'Ta1 B3 Pd1'
_symmetry_space_group_name_H-M 'P m -3 m'
_symmetry_Int_Tables_number 221
_symmetry_space_group_name_Hall '-P 4 2 3'
_cell_length_a 3.990
_cell_length_b 3.990
_cell_length_c 3.990
_cell_angle_alpha 90.00
_cell_angle_beta 90.00
_cell_angle_gamma 90.00
loop_
_atom_site_label
_atom_site_type_symbol
_atom_site_fract_x
_atom_site_fract_y
_atom_site_fract_z
Ta1 Ta 0.000 0.000 0.000
B1 B 0.000 0.500 0.500
Pd1 Pd 0.500 0.500 0.500



No. 3
# SrSe2F, relaxed, DFT GGA-PBE
# Calculated volume: 21.998 A^3/atom
# Calculated total energy: -0.161 hartree per atom
# Raw formation energy: -7.0 eV/f.u.
# ρ: 5.0 Mg/m³
# Energy relative to the lowest polymorph listed for this composition: 0.00 eV/f.u.
# Magnetic moment: 0.000 μB per formula unit
data_SrSe2F
_chemical_formula_sum 'Sr4 Se8 F4'
_symmetry_space_group_name_H-M 'I -4 2 d'
_symmetry_Int_Tables_number 122
_symmetry_space_group_name_Hall 'I -4 2bw'
_cell_length_a 3.845
_cell_length_b 3.845
_cell_length_c 23.812
_cell_angle_alpha 90.00
_cell_angle_beta 90.00
_cell_angle_gamma 90.00
loop_
_atom_site_label
_atom_site_type_symbol
_atom_site_fract_x
_atom_site_fract_y
_atom_site_fract_z
Sr1 Sr 0.000 0.000 0.000
Se1 Se 0.250 0.250 0.125
F1 F 0.000 0.000 0.500



No. 4
# MgVAg, relaxed, DFT GGA-PBE
# Calculated volume: 17.088 A^3/atom
# Calculated total energy: -0.164 hartree per atom
# ρ: 5.9 Mg/m³
# Energy relative to the lowest polymorph listed for this composition: 0.00 eV/f.u.
# Magnetic moment: 0.000 μB per formula unit
data_MgVAg
_chemical_formula_sum 'Mg4 V4 Ag4'
_symmetry_space_group_name_H-M 'C m m 2'
_symmetry_Int_Tables_number 35
_cell_length_a 4.462
_cell_length_b 4.476
_cell_length_c 10.269
_cell_angle_alpha 90.00
_cell_angle_beta 90.00
_cell_angle_gamma 90.00
loop_
_symmetry_equiv_pos_as_xyz
'x,y,z'
'-x,-y,z'
'-x,y,z'
'x,-y,z'
'x+1/2,y+1/2,z'
'-x+1/2,-y+1/2,z'
'-x+1/2,y+1/2,z'
'x+1/2,-y+1/2,z'
loop_
_atom_site_label
_atom_site_type_symbol
_atom_site_fract_x
_atom_site_fract_y
_atom_site_fract_z
Mg1 Mg 0.000 0.000 0.000
Mg2 Mg 0.000 0.000 0.355
V1 V 0.000 0.000 0.643
V2 V 0.000 0.500 0.540
Ag1 Ag 0.000 0.500 0.181
Ag2 Ag 0.000 0.500 0.824



No. 5
# LaMo2Au, relaxed, DFT GGA-PBE
# Calculated volume: 20.714 A^3/atom
# Calculated total energy: -0.263 hartree per atom
# ρ: 10.6 Mg/m³
# Energy relative to the lowest polymorph listed for this composition: 0.90 eV/f.u.
# Magnetic moment: 0.000 μB per formula unit
data_LaMo2Au
_chemical_formula_sum 'La2 Mo4 Au2'
_symmetry_space_group_name_H-M 'C 1 m 1'
_symmetry_Int_Tables_number 8
_cell_length_a 10.748
_cell_length_b 3.480
_cell_length_c 5.002
_cell_angle_alpha 90.00
_cell_angle_beta 117.66
_cell_angle_gamma 90.00
loop_
_symmetry_equiv_pos_as_xyz
'x,y,z'
'x,-y,z'
'x+1/2,y+1/2,z'
'x+1/2,-y+1/2,z'
loop_
_atom_site_label
_atom_site_type_symbol
_atom_site_fract_x
_atom_site_fract_y
_atom_site_fract_z
La1 La 0.000 0.000 0.000
Mo1 Mo 0.265 0.500 0.265
Mo2 Mo 0.449 0.000 0.450
Au1 Au 0.221 0.000 0.720



No. 6
# Pm2PuTe3Rh4, relaxed, DFT GGA-PBE
# Calculated volume: 22.299 A^3/atom
# Calculated total energy: -0.257 hartree per atom
# Raw formation energy: -7.3 eV/f.u.
# ρ: 9.9 Mg/m³
# Magnetic moment: 4.729 μB per formula unit
data_Pm2PuTe3Rh4
_chemical_formula_sum 'Pm2 Pu1 Te3 Rh4'
_symmetry_space_group_name_H-M 'P -4 m 2'
_symmetry_Int_Tables_number 115
_cell_length_a 4.426
_cell_length_b 4.426
_cell_length_c 11.385
_cell_angle_alpha 90.00
_cell_angle_beta 90.00
_cell_angle_gamma 90.00
loop_
_symmetry_equiv_pos_as_xyz
'x,y,z'
'y,-x,-z'
'-x,-y,z'
'-y,x,-z'
'-x,y,z'
'-y,-x,-z'
'x,-y,z'
'y,x,-z'
loop_
_atom_site_label
_atom_site_type_symbol
_atom_site_fract_x
_atom_site_fract_y
_atom_site_fract_z
Pm1 Pm 0.000 0.500 0.216
Pu1 Pu 0.000 0.000 0.500
Te1 Te 0.000 0.500 0.868
Te2 Te 0.500 0.500 0.500
Rh1 Rh 0.000 0.000 0.000
Rh2 Rh 0.000 0.500 0.644
Rh3 Rh 0.500 0.500 0.000



No. 7
# KInC, relaxed, DFT GGA-PBE
# Calculated volume: 24.011 A^3/atom
# Calculated total energy: -0.123 hartree per atom
# ρ: 3.8 Mg/m³
# Magnetic moment: 0.000 μB per formula unit
data_KInC
_chemical_formula_sum 'K16 In16 C16'
_symmetry_space_group_name_H-M 'F d d d'
_symmetry_Int_Tables_number 70
_cell_length_a 9.787
_cell_length_b 9.799
_cell_length_c 12.018
_cell_angle_alpha 90.00
_cell_angle_beta 90.00
_cell_angle_gamma 90.00
loop_
_symmetry_equiv_pos_as_xyz
'x,y,z'
'-x,-y,-z'
'-x+1/4,-y+1/4,z'
'x+1/4,y+1/4,-z'
'x,-y+1/4,-z+1/4'
'-x,y+1/4,z+1/4'
'-x+1/4,y,-z+1/4'
'x+1/4,-y,z+1/4'
'x,y+1/2,z+1/2'
'-x,-y+1/2,-z+1/2'
'-x+1/4,-y+3/4,z+1/2'
'x+1/4,y+3/4,-z+1/2'
'x,-y+3/4,-z+3/4'
'-x,y+3/4,z+3/4'
'-x+1/4,y+1/2,-z+3/4'
'x+1/4,-y+1/2,z+3/4'
'x+1/2,y,z+1/2'
'-x+1/2,-y,-z+1/2'
'-x+3/4,-y+1/4,z+1/2'
'x+3/4,y+1/4,-z+1/2'
'x+1/2,-y+1/4,-z+3/4'
'-x+1/2,y+1/4,z+3/4'
'-x+3/4,y,-z+3/4'
'x+3/4,-y,z+3/4'
'x+1/2,y+1/2,z'
'-x+1/2,-y+1/2,-z'
'-x+3/4,-y+3/4,z'
'x+3/4,y+3/4,-z'
'x+1/2,-y+3/4,-z+1/4'
'-x+1/2,y+3/4,z+1/4'
'-x+3/4,y+1/2,-z+1/4'
'x+3/4,-y+1/2,z+1/4'
loop_
_atom_site_label
_atom_site_type_symbol
_atom_site_fract_x
_atom_site_fract_y
_atom_site_fract_z
K1 K 0.125 0.125 0.002
In1 In 0.000 0.000 0.500
C1 C 0.125 0.347 0.625



No. 8
# Ce2ErTm3Te6, relaxed, DFT GGA-PBE
# Calculated volume: 29.453 A^3/atom
# Calculated total energy: -0.195 hartree per atom
# Raw formation energy: -15.0 eV/f.u.
# ρ: 8.1 Mg/m³
# Magnetic moment: 2.570 μB per formula unit
data_Ce2ErTm3Te6
_chemical_formula_sum 'Ce4 Er2 Tm6 Te12'
_symmetry_space_group_name_H-M 'C 1 2/m 1'
_symmetry_Int_Tables_number 12
_cell_length_a 19.147
_cell_length_b 4.316
_cell_length_c 8.843
_cell_angle_alpha 90.00
_cell_angle_beta 104.69
_cell_angle_gamma 90.00
loop_
_symmetry_equiv_pos_as_xyz
'x,y,z'
'-x,-y,-z'
'-x,y,-z'
'x,-y,z'
'x+1/2,y+1/2,z'
'-x+1/2,-y+1/2,-z'
'-x+1/2,y+1/2,-z'
'x+1/2,-y+1/2,z'
loop_
_atom_site_label
_atom_site_type_symbol
_atom_site_fract_x
_atom_site_fract_y
_atom_site_fract_z
Ce1 Ce 0.168 0.000 0.336
Er1 Er 0.000 0.500 0.000
Tm1 Tm 0.000 0.500 0.500
Tm2 Tm 0.170 0.000 0.834
Te1 Te 0.004 0.000 0.751
Te2 Te 0.162 0.500 0.592
Te3 Te 0.165 0.500 0.072



No. 9
# Zr2MnCd2, relaxed, DFT GGA-PBE
# Calculated volume: 22.976 A^3/atom
# Calculated total energy: -0.188 hartree per atom
# ρ: 6.7 Mg/m³
# Energy relative to the lowest polymorph listed for this composition: 0.17 eV/f.u.
# Magnetic moment: 0.969 μB per formula unit
data_Zr2MnCd2
_chemical_formula_sum 'Zr4 Mn2 Cd4'
_symmetry_space_group_name_H-M 'I 4/m m m'
_symmetry_Int_Tables_number 139
_symmetry_space_group_name_Hall '-I 4 2'
_cell_length_a 3.734
_cell_length_b 3.734
_cell_length_c 16.483
_cell_angle_alpha 90.00
_cell_angle_beta 90.00
_cell_angle_gamma 90.00
loop_
_atom_site_label
_atom_site_type_symbol
_atom_site_fract_x
_atom_site_fract_y
_atom_site_fract_z
Zr1 Zr 0.000 0.000 0.086
Mn1 Mn 0.000 0.000 0.500
Cd1 Cd 0.000 0.500 0.250



No. 10
# KTlGa2, relaxed, DFT GGA-PBE
# Calculated volume: 27.263 A^3/atom
# Calculated total energy: -0.091 hartree per atom
# ρ: 5.8 Mg/m³
# Energy relative to the lowest polymorph listed for this composition: 0.00 eV/f.u.
# Magnetic moment: 0.000 μB per formula unit
data_KTlGa2
_chemical_formula_sum 'K2 Tl2 Ga4'
_symmetry_space_group_name_H-M 'P 1 21/m 1'
_symmetry_Int_Tables_number 11
_cell_length_a 4.452
_cell_length_b 4.451
_cell_length_c 11.004
_cell_angle_alpha 90.00
_cell_angle_beta 90.05
_cell_angle_gamma 90.00
loop_
_symmetry_equiv_pos_as_xyz
'x,y,z'
'-x,-y,-z'
'-x,y+1/2,-z'
'x,-y+1/2,z'
loop_
_atom_site_label
_atom_site_type_symbol
_atom_site_fract_x
_atom_site_fract_y
_atom_site_fract_z
K1 K 0.248 0.250 0.248
Tl1 Tl 0.251 0.250 0.930
Ga1 Ga 0.250 0.750 0.500
Ga2 Ga 0.251 0.250 0.640



No. 11
# Ac3YBi4, relaxed, DFT GGA-PBE
# Calculated volume: 38.808 A^3/atom
# Calculated total energy: -0.193 hartree per atom
# ρ: 8.6 Mg/m³
# Magnetic moment: 0.000 μB per formula unit
data_Ac3YBi4
_chemical_formula_sum 'Ac6 Y2 Bi8'
_symmetry_space_group_name_H-M 'C m m m'
_symmetry_Int_Tables_number 65
_symmetry_space_group_name_Hall '-C 2 2'
_cell_length_a 9.571
_cell_length_b 13.531
_cell_length_c 4.794
_cell_angle_alpha 90.00
_cell_angle_beta 90.00
_cell_angle_gamma 90.00
loop_
_atom_site_label
_atom_site_type_symbol
_atom_site_fract_x
_atom_site_fract_y
_atom_site_fract_z
Ac1 Ac 0.000 0.000 0.000
Ac2 Ac 0.250 0.250 0.500
Y1 Y 0.000 0.500 0.000
Bi1 Bi 0.000 0.258 0.000
Bi2 Bi 0.235 0.500 0.500



No. 12
# HfCu6S8, relaxed, DFT GGA-PBE
# Calculated volume: 18.094 A^3/atom
# Calculated total energy: -0.178 hartree per atom
# Raw formation energy: -4.9 eV/f.u.
# ρ: 5.0 Mg/m³
# Magnetic moment: 0.000 μB per formula unit
data_HfCu6S8
_chemical_formula_sum 'Hf3 Cu18 S24'
_symmetry_space_group_name_H-M 'R -3'
_symmetry_Int_Tables_number 148
_symmetry_space_group_name_Hall '-R 3'
_cell_length_a 9.6465
_cell_length_b 9.6465
_cell_length_c 10.1035
_cell_angle_alpha 90.00
_cell_angle_beta 90.00
_cell_angle_gamma 120.00
loop_
_atom_site_label
_atom_site_type_symbol
_atom_site_fract_x
_atom_site_fract_y
_atom_site_fract_z
Hf1 Hf 0.0000 0.0000 0.0000
Cu1 Cu 0.0063 0.7633 0.7415
S1 S 0.0000 0.0000 0.2625
S2 S 0.0288 0.5332 0.7520